# 1
! KTaCd2 | the Alexandria database | GGA-PBE | relaxed; values from VASP
&SYSTEM
  ibrav = 0, nat = 4, ntyp = 3
/
ATOMIC_SPECIES
K 39.10 K.upf
Ta 180.95 Ta.upf
Cd 112.41 Cd.upf
CELL_PARAMETERS angstrom
5.7057 0.0000 0.0000
0.0000 5.7057 0.0000
0.0000 0.0000 2.8527
ATOMIC_POSITIONS crystal
K 0.0000 0.0000 0.0000
Ta 0.5000 0.5000 0.0000
Cd 0.0000 0.5000 0.5000
Cd 0.5000 0.0000 0.5000
! calculated total energy = -3.17 eV/atom
! space group = P4/mmm
! polymorph energy (0 for the lowest one) = 126.5 meV per atom
! energy of formation = 2.084 eV/f.u.
! total magnetic moment = 0.00 μB per atom

=====

# 2
! LiNd6Dy | the Alexandria database | GGA-PBE | relaxed; values from VASP
&SYSTEM
  ibrav = 0, nat = 16, ntyp = 3
/
ATOMIC_SPECIES
Li 6.94 Li.upf
Nd 144.24 Nd.upf
Dy 162.50 Dy.upf
CELL_PARAMETERS angstrom
5.1677 0.0000 0.0000
0.0000 5.1677 0.0000
0.0000 0.0000 19.8957
ATOMIC_POSITIONS crystal
Li 0.0000 0.0000 0.0000
Li 0.5000 0.5000 0.5000
Nd 0.0000 0.0000 0.2521
Nd 0.0000 0.0000 0.7479
Nd 0.0000 0.5000 0.1205
Nd 0.0000 0.5000 0.3795
Nd 0.0000 0.5000 0.6205
Nd 0.0000 0.5000 0.8795
Nd 0.5000 0.0000 0.1205
Nd 0.5000 0.0000 0.3795
Nd 0.5000 0.0000 0.6205
Nd 0.5000 0.0000 0.8795
Nd 0.5000 0.5000 0.2479
Nd 0.5000 0.5000 0.7521
Dy 0.0000 0.0000 0.5000
Dy 0.5000 0.5000 0.0000
! calculated total energy = -4.30 eV/atom
! space group = I4/mmm
! energy of formation = 0.698 eV/f.u.
! total magnetic moment = 0.00 μB per atom

=====

# 3
! TmCo2CuH8 | the Alexandria database | GGA-PBE | relaxed; values from VASP
&SYSTEM
  ibrav = 0, nat = 12, ntyp = 4
/
ATOMIC_SPECIES
Tm 168.93 Tm.upf
Co 58.93 Co.upf
Cu 63.55 Cu.upf
H 1.01 H.upf
CELL_PARAMETERS angstrom
4.5386 0.0000 0.0000
-2.2693 3.9306 0.0000
0.0000 0.0000 5.9487
ATOMIC_POSITIONS crystal
Tm 0.0000 0.0000 0.0000
Co 0.3333 0.6667 0.3356
Co 0.6667 0.3333 0.6644
Cu 0.0000 0.0000 0.5000
H 0.1447 0.2895 0.2973
H 0.1447 0.8553 0.2973
H 0.2895 0.1447 0.7027
H 0.3333 0.6667 0.0761
H 0.6667 0.3333 0.9239
H 0.7105 0.8553 0.2973
H 0.8553 0.1447 0.7027
H 0.8553 0.7105 0.7027
! calculated total energy = -4.04 eV/atom
! space group = P-3m1
! total magnetic moment = 0.00 μB per atom